(1)
A geometry-optimized AcSnAsO structure. Source: the Alexandria database, functional PBE.

Cell: 4.4241 4.4241 10.2176 Å, 90.00 90.00 90.00°
Closest atoms and distances in Å follow each position.
Element x y z (fractional)
Ac (0.0000, 0.5000, 0.3837)  4 O 2.51
Ac (0.5000, 0.0000, 0.6163)  4 O 2.51
Sn (0.5000, 0.5000, 0.0000)  4 As 3.06, 4 Sn 3.13
Sn (0.0000, 0.0000, 0.0000)  4 As 3.06, 4 Sn 3.13
As (0.0000, 0.5000, 0.7924)  4 Sn 3.06
As (0.5000, 0.0000, 0.2076)  4 Sn 3.06
O (0.5000, 0.5000, 0.5000)  4 Ac 2.51
O (0.0000, 0.0000, 0.5000)  4 Ac 2.51

Output
total DFT energy (no corrections)	-47.70	eV for the cell shown
Fermi-level density of states	2.19	states/eV/f.u.
SG	P4/nmm, No. 129

(2)
A geometry-optimized Cs3MgHg2Cl9 structure. Source: the Alexandria database, functional PBE.

Cell: 7.5025 7.5025 9.2043 Å, 90.00 90.00 120.00°
Closest atoms and distances in Å follow each position.
Element x y z (fractional)
Cs (0.6667, 0.3333, 0.3328)  12 Cl 3.75
Cs (0.3333, 0.6667, 0.6672)  12 Cl 3.75
Cs (0.0000, 0.0000, 0.0000)  12 Cl 3.75-3.77
Cl (0.5000, 0.0000, 0.0000)  2 Hg 2.70
Cl (0.6786, 0.8393, 0.3412)  1 Mg 2.55, 1 Hg 2.72
Cl (0.8393, 0.1607, 0.6589)  1 Mg 2.55, 1 Hg 2.72
Cl (0.1607, 0.8393, 0.3412)  1 Mg 2.55, 1 Hg 2.72
Cl (0.5000, 0.5000, 0.0000)  2 Hg 2.70
Cl (0.8393, 0.6786, 0.6589)  1 Mg 2.55, 1 Hg 2.72
Cl (0.0000, 0.5000, 0.0000)  2 Hg 2.70
Cl (0.1607, 0.3214, 0.3412)  1 Mg 2.55, 1 Hg 2.72
Cl (0.3214, 0.1607, 0.6589)  1 Mg 2.55, 1 Hg 2.72
Mg (0.0000, 0.0000, 0.5000)  6 Cl 2.55
Hg (0.6667, 0.3333, 0.8252)  6 Cl 2.70-2.72
Hg (0.3333, 0.6667, 0.1748)  6 Cl 2.70-2.72

Output
total DFT energy (no corrections)	-42.54	eV for the cell shown
SG	P-3m1, No. 164

(3)
A geometry-optimized Ta4Mo3W structure. Source: the Alexandria database, functional PBE.

Cell: 3.2310 4.5728 9.1434 Å, 90.00 90.00 90.00°
Closest atoms and distances in Å follow each position.
Element x y z (fractional)
Mo (0.5000, 0.0000, 0.7502)  8 Ta 2.80
Mo (0.5000, 0.5000, 0.5000)  8 Ta 2.79-2.80
Mo (0.5000, 0.0000, 0.2498)  8 Ta 2.80
Ta (0.0000, 0.5000, 0.2510)  6 Mo 2.79-2.80, 2 W 2.81
Ta (0.0000, 0.0000, 0.5000)  8 Mo 2.80
Ta (0.0000, 0.5000, 0.7490)  6 Mo 2.79-2.80, 2 W 2.81
Ta (0.0000, 0.0000, 0.0000)  4 Mo 2.80, 4 W 2.80
W (0.5000, 0.5000, 0.0000)  8 Ta 2.80-2.81

Output
total DFT energy (no corrections)	-94.29	eV for the cell shown
energy relative to the elements	-0.179	eV/atom
Fermi-level density of states	6.10	states/eV/f.u.
SG	Pmmm, No. 47

(4)
A geometry-optimized PmCoSb structure. Source: the Alexandria database, functional PBE.

Cell: 3.3536 3.3536 6.1187 Å, 105.91 105.91 90.00°
Closest atoms and distances in Å follow each position.
Element x y z (fractional)
Sb (0.9148, 0.9148, 0.8295)  4 Co 2.68
Pm (0.6302, 0.6302, 0.2605)  4 Co 3.08, 5 Sb 3.21-3.40, 4 Pm 3.35
Co (0.3050, 0.3050, 0.6100)  4 Sb 2.68

Output
total DFT energy (no corrections)	-16.66	eV for the cell shown
relative energy among the computed polymorphs	341.4	meV per atom
Fermi-level density of states	3.18	states/eV/f.u.
SG	I4mm, No. 107